Compound: BeAl2IO
Source: Alexandria
Functional: PBE
Structure: optimized geometry

Results
Space-group type: P4/mmm
Raw formation energy: 1.59 eV/atom
Magnetic moment: 0.00 μB per formula unit

Cell: 6.0030 4.6838 6.0030 Å, 90.00 90.00 90.00°
Last column: nearest neighbours and their distance in Å.
Positions (direct):
Al: 0.5000 0.0000 0.0000  2 I 3.00
Al: 0.0000 0.0000 0.5000  2 I 3.00
Be: 0.0000 0.5000 0.0000  2 I 2.34
O: 0.5000 0.5000 0.5000  8 Al 3.81, 4 Be 4.24
I: 0.0000 0.0000 0.0000  2 Be 2.34